[1]
A plane-wave DFT calculation with PBE was carried out for crystalline Ac3TbHo at its relaxed geometry.

The structure in POSCAR format:
```
Ac3TbHo
1.0
6.519 0.000 0.000
0.000 9.382 0.000
0.000 0.000 13.243
Ac Tb Ho
12 4 4
Cartesian
0.575 1.625 0.977
0.575 3.066 5.645
0.912 2.346 9.932
2.348 7.037 9.932
2.684 6.316 5.645
2.684 7.757 0.977
3.834 1.625 12.266
3.834 3.066 7.598
4.171 2.346 3.311
5.607 7.037 3.311
5.944 6.316 7.598
5.944 7.757 12.266
1.630 0.000 7.372
1.630 4.691 12.493
4.889 0.000 5.871
4.889 4.691 0.750
1.630 0.000 4.053
1.630 4.691 2.568
4.889 0.000 9.190
4.889 4.691 10.675
```

Results
N(E_F), states/eV/f.u.: 7.32
VASP energy, eV per atom: -4.122
Total moment, μB per formula unit: 0.0

---

[2]
A plane-wave DFT calculation with PBE was carried out for crystalline LaCrB2 at its relaxed geometry.

The structure in POSCAR format:
```
LaCrB2
1.0
6.107 0.000 0.000
0.000 6.107 0.000
0.000 0.000 6.107
La Cr B
4 4 8
Cartesian
0.000 0.000 0.000
0.000 3.054 3.054
3.054 0.000 3.054
3.054 3.054 0.000
0.000 0.000 3.054
0.000 3.054 0.000
3.054 0.000 0.000
3.054 3.054 3.054
1.527 1.527 1.527
1.527 1.527 4.580
1.527 4.580 1.527
1.527 4.580 4.580
4.580 1.527 1.527
4.580 1.527 4.580
4.580 4.580 1.527
4.580 4.580 4.580
```

Results
N(E_F), states/eV/f.u.: 8.79
VASP energy, eV per atom: -6.024
Total moment, μB per formula unit: 0.0

---

Repeat the first record exactly.
A plane-wave DFT calculation with PBE was carried out for crystalline Ac3TbHo at its relaxed geometry.

The structure in POSCAR format:
```
Ac3TbHo
1.0
6.519 0.000 0.000
0.000 9.382 0.000
0.000 0.000 13.243
Ac Tb Ho
12 4 4
Cartesian
0.575 1.625 0.977
0.575 3.066 5.645
0.912 2.346 9.932
2.348 7.037 9.932
2.684 6.316 5.645
2.684 7.757 0.977
3.834 1.625 12.266
3.834 3.066 7.598
4.171 2.346 3.311
5.607 7.037 3.311
5.944 6.316 7.598
5.944 7.757 12.266
1.630 0.000 7.372
1.630 4.691 12.493
4.889 0.000 5.871
4.889 4.691 0.750
1.630 0.000 4.053
1.630 4.691 2.568
4.889 0.000 9.190
4.889 4.691 10.675
```

Results
N(E_F), states/eV/f.u.: 7.32
VASP energy, eV per atom: -4.122
Total moment, μB per formula unit: 0.0

---

Question: Which of these has the highest N(E_F)?
Answer: LaCrB2

---

Question: What is the formula in the second record?
Answer: LaCrB2

---

Please write out number 1 again, unchanged.
A plane-wave DFT calculation with PBE was carried out for crystalline Ac3TbHo at its relaxed geometry.

The structure in POSCAR format:
```
Ac3TbHo
1.0
6.519 0.000 0.000
0.000 9.382 0.000
0.000 0.000 13.243
Ac Tb Ho
12 4 4
Cartesian
0.575 1.625 0.977
0.575 3.066 5.645
0.912 2.346 9.932
2.348 7.037 9.932
2.684 6.316 5.645
2.684 7.757 0.977
3.834 1.625 12.266
3.834 3.066 7.598
4.171 2.346 3.311
5.607 7.037 3.311
5.944 6.316 7.598
5.944 7.757 12.266
1.630 0.000 7.372
1.630 4.691 12.493
4.889 0.000 5.871
4.889 4.691 0.750
1.630 0.000 4.053
1.630 4.691 2.568
4.889 0.000 9.190
4.889 4.691 10.675
```

Results
N(E_F), states/eV/f.u.: 7.32
VASP energy, eV per atom: -4.122
Total moment, μB per formula unit: 0.0